[1]
# TbCdPd5, relaxed, DFT PBE-GGA
data_TbCdPd5
_chemical_formula_sum 'Tb2 Cd2 Pd10'
_space_group_name_H-M_alt 'I m m 2'
_space_group_IT_number 44
_cell_length_a 7.3309
_cell_length_b 8.9338
_cell_length_c 5.3024
_cell_angle_alpha 90.00
_cell_angle_beta 90.00
_cell_angle_gamma 90.00
loop_
_space_group_symop_operation_xyz
'x,y,z'
'-x,-y,z'
'-x,y,z'
'x,-y,z'
'x+1/2,y+1/2,z+1/2'
'-x+1/2,-y+1/2,z+1/2'
'-x+1/2,y+1/2,z+1/2'
'x+1/2,-y+1/2,z+1/2'
loop_
_atom_site_label
_atom_site_fract_x
_atom_site_fract_y
_atom_site_fract_z
Tb1 0.0000 0.0000 0.0000
Cd1 0.0000 0.5000 0.2991
Pd1 0.0000 0.0000 0.5069
Pd2 0.0000 0.2678 0.6671
Pd3 0.1844 0.5000 0.8141
# **Calculated volume**: 24.81 Å³/atom
# **Calculated density**: 7.68 g/cm3
# **Spin magnetization**: 0.00 μB/atom
# **Energy relative to the elements**: 158 meV per atom

[2]
# TbCd4Pd, relaxed, DFT PBE-GGA
data_TbCd4Pd
_chemical_formula_sum 'Tb4 Cd16 Pd4'
_space_group_name_H-M_alt 'F -4 3 m'
_space_group_IT_number 216
_space_group_name_Hall 'F -4 2 3'
_cell_length_a 8.0602
_cell_length_b 8.0602
_cell_length_c 8.0602
_cell_angle_alpha 90.00
_cell_angle_beta 90.00
_cell_angle_gamma 90.00
loop_
_atom_site_label
_atom_site_fract_x
_atom_site_fract_y
_atom_site_fract_z
Tb1 0.0000 0.0000 0.0000
Cd1 0.1245 0.1245 0.6245
Pd1 0.2500 0.2500 0.2500
# **Calculated volume**: 21.82 Å³/atom
# **Calculated density**: 9.07 g/cm3
# **Spin magnetization**: 0.00 μB/atom
# **Distance to the lowest polymorph of the same formula**: 8.37 kJ per mole of atoms
# **Energy relative to the elements**: -173 meV per atom

[3]
# TbCdPd, relaxed, DFT PBE-GGA
data_TbCdPd
_chemical_formula_sum 'Tb2 Cd2 Pd2'
_space_group_name_H-M_alt 'I 4 m m'
_space_group_IT_number 107
_space_group_name_Hall 'I 4 -2'
_cell_length_a 3.6921
_cell_length_b 3.6921
_cell_length_c 9.5391
_cell_angle_alpha 90.00
_cell_angle_beta 90.00
_cell_angle_gamma 90.00
loop_
_atom_site_label
_atom_site_fract_x
_atom_site_fract_y
_atom_site_fract_z
Tb1 0.0000 0.0000 0.0000
Cd1 0.0000 0.0000 0.6854
Pd1 0.0000 0.0000 0.3463
# **Calculated volume**: 21.67 Å³/atom
# **Calculated density**: 9.65 g/cm3
# **Spin magnetization**: 0.00 μB/atom
# **Energy relative to the elements**: -608 meV per atom

[4]
# Tb2Cd2Pd15, relaxed, DFT PBE-GGA
data_Tb2Cd2Pd15
_chemical_formula_sum 'Tb6 Cd6 Pd45'
_space_group_name_H-M_alt 'R -3 m'
_space_group_IT_number 166
_space_group_name_Hall '-R 3 2"'
_cell_length_a 9.1457
_cell_length_b 9.1457
_cell_length_c 13.8704
_cell_angle_alpha 90.00
_cell_angle_beta 90.00
_cell_angle_gamma 120.00
loop_
_atom_site_label
_atom_site_fract_x
_atom_site_fract_y
_atom_site_fract_z
Tb1 0.0000 0.0000 0.1481
Cd1 0.0000 0.0000 0.4004
Pd1 0.0000 0.3138 0.5000
Pd2 0.0000 0.5000 0.0000
Pd3 0.0059 0.5029 0.6561
# **Calculated volume**: 17.63 Å³/atom
# **Calculated density**: 10.61 g/cm3
# **Spin magnetization**: 0.00 μB/atom
# **Energy relative to the elements**: -378 meV per atom

[5]
# TbCd2Pd9, relaxed, DFT PBE-GGA
data_TbCd2Pd9
_chemical_formula_sum 'Tb1 Cd2 Pd9'
_space_group_name_H-M_alt 'P 4/m m m'
_space_group_IT_number 123
_space_group_name_Hall '-P 4 2'
_cell_length_a 4.0640
_cell_length_b 4.0640
_cell_length_c 12.2214
_cell_angle_alpha 90.00
_cell_angle_beta 90.00
_cell_angle_gamma 90.00
loop_
_atom_site_label
_atom_site_fract_x
_atom_site_fract_y
_atom_site_fract_z
Tb1 0.0000 0.0000 0.0000
Cd1 0.0000 0.0000 0.3375
Pd1 0.0000 0.5000 0.1718
Pd2 0.0000 0.5000 0.5000
Pd3 0.5000 0.5000 0.0000
Pd4 0.5000 0.5000 0.3347
# **Calculated volume**: 16.82 Å³/atom
# **Calculated density**: 11.04 g/cm3
# **Spin magnetization**: 0.00 μB/atom
# **Energy relative to the elements**: -439 meV per atom

[6]
# Tb12CdPd6, relaxed, DFT PBE-GGA
data_Tb12CdPd6
_chemical_formula_sum 'Tb36 Cd3 Pd18'
_space_group_name_H-M_alt 'R -3'
_space_group_IT_number 148
_space_group_name_Hall '-R 3'
_cell_length_a 14.1869
_cell_length_b 14.1869
_cell_length_c 8.9980
_cell_angle_alpha 90.00
_cell_angle_beta 90.00
_cell_angle_gamma 120.00
loop_
_atom_site_label
_atom_site_fract_x
_atom_site_fract_y
_atom_site_fract_z
Tb1 0.0401 0.7871 0.4271
Tb2 0.0569 0.8796 0.8245
Cd1 0.0000 0.0000 0.5000
Pd1 0.0718 0.5736 0.7809
# **Calculated volume**: 27.52 Å³/atom
# **Calculated density**: 8.44 g/cm3
# **Spin magnetization**: 0.00 μB/atom
# **Distance to the lowest polymorph of the same formula**: 10.40 kJ per mole of atoms
# **Energy relative to the elements**: -470 meV per atom

> Which of these has the highest calculated volume?

Tb12CdPd6

> What is the calculated volume in the first record?

24.81 Å³/atom